{
  "formula": "SnHgOs3",
  "functional": "PBE",
  "state": "optimized geometry",
  "cell": [[4.865, 0.000, 0.000], [0.000, 4.865, 0.000], [0.000, 0.000, 4.865]],
  "species": ["Sn", "Hg", "Os", "Os", "Os"],
  "frac_coords": [[0.000, 0.000, 0.000], [0.500, 0.500, 0.500], [0.000, 0.000, 0.500], [0.000, 0.500, 0.000], [0.500, 0.000, 0.000]],
  "density_g_cm3": 12.8,
  "relative_energy_mev_per_atom": 0.0,
  "formation_enthalpy_0k_kj_per_mol_fu": 1238,
  "final_energy_ev_per_atom": -5.03
}